(1)
VASP calculation (GGA-PBE) on an optimized crystal structure of LaMnCr.

Cell: 6.294 6.294 3.189 Å, 75.32 75.32 29.35°
Positions (direct):
La 0.668 0.668 0.332
Cr 0.953 0.953 0.047
Mn 0.378 0.378 0.622

Properties
Spin magnetization, μB per cell: 0.2
Distance to the lowest polymorph of the same formula, meV/atom: 0
Total DFT energy (no corrections), eV/atom: -7.5374

***

(2)
VASP calculation (GGA-PBE) on an optimized crystal structure of LaMn2Cr.

Cell: 3.063 3.058 8.081 Å, 67.78 90.00 90.00°
Positions (direct):
Cr 0.500 0.250 0.250
La 0.500 0.750 0.750
Mn 0.000 0.571 0.429
Mn 0.000 0.929 0.071

Properties
Spin magnetization, μB per cell: 3.8
Distance to the lowest polymorph of the same formula, meV/atom: 20
Total DFT energy (no corrections), eV/atom: -7.9504

***

(3)
VASP calculation (GGA-PBE) on an optimized crystal structure of LaMnCr.

Cell: 4.071 4.071 4.729 Å, 90.00 90.00 120.00°
Positions (direct):
La 0.667 0.333 0.333
Mn 0.333 0.667 0.834
Cr 0.000 0.000 0.833

Properties
Spin magnetization, μB per cell: 0.6
Distance to the lowest polymorph of the same formula, meV/atom: 11
Total DFT energy (no corrections), eV/atom: -7.5263